The following is a DFT calculation (PBE) of a relaxed CdI crystal.

Values from the calculation:
The total energy is -1.3915 eV/atom. Its space group is P6_3/mmc, No. 194. The value obtained for the theoretical density is 4.0 g/cm³. As for the uncorrected formation energy: -0.159 eV/atom. As for the crystal system: hexagonal.

a = 6.1969 Å, b = 6.1969 Å, c = 5.9333 Å
α = 90.00°, β = 90.00°, γ = 120.00°
With the nearest neighbours (Å) after each atom.
Element x y z (fractional)
1 Cd 0.3333 0.6667 0.2500  2 I 2.97
2 Cd 0.6667 0.3333 0.7500  2 I 2.97
3 I 0.3333 0.6667 0.7500  2 Cd 2.97
4 I 0.6667 0.3333 0.2500  2 Cd 2.97